# 1
This record from Alexandria describes a relaxed structure of SmHoEr5. The functional is GGA-PBE.

Cell: 6.6928 6.6928 12.0820 Å, 107.22 107.22 60.24°
Closest atoms and distances in Å follow each position.
Sites, in units of the cell vectors:
Sm  0.0273  0.9727  0.7500  3 Er 2.95-3.28
Sm  0.9727  0.0273  0.2500  3 Er 2.95-3.28
Ho  0.0000  0.5000  0.0000  4 Er 3.22-3.56
Ho  0.5000  0.0000  0.5000  4 Er 3.22-3.56
Er  0.1423  0.4182  0.7522  2 Er 2.97-3.27, 1 Ho 3.22
Er  0.1930  0.6502  0.5000  4 Er 3.27-3.57, 1 Sm 3.28
Er  0.3498  0.8070  0.0000  4 Er 3.27-3.57, 1 Sm 3.28
Er  0.4120  0.5880  0.2500  1 Sm 2.95, 2 Er 2.97
Er  0.4182  0.1423  0.2522  2 Er 2.97-3.27, 1 Ho 3.22
Er  0.5818  0.8577  0.7478  2 Er 2.97-3.27, 1 Ho 3.22
Er  0.5880  0.4120  0.7500  1 Sm 2.95, 2 Er 2.97
Er  0.6502  0.1930  0.0000  4 Er 3.27-3.57, 1 Sm 3.28
Er  0.8070  0.3498  0.5000  4 Er 3.27-3.57, 1 Sm 3.28
Er  0.8577  0.5818  0.2478  2 Er 2.97-3.27, 1 Ho 3.22

## Properties
* distance to the lowest polymorph of the same formula: 0.000 eV/atom
* VASP energy: -4.387 eV per atom
* N(E_F): 8.3 states/eV/f.u.
* ρ: 8.7 g/cm³
* DFT formation energy: 0.200 eV per atom

---

# 2
This record from Alexandria describes a relaxed structure of TmTaPd6. The functional is GGA-PBE.

Cell: 4.0230 4.0230 8.0704 Å, 90.00 90.00 90.00°
Closest atoms and distances in Å follow each position.
Sites, in units of the cell vectors:
Tm  0.0000  0.0000  0.0000  12 Pd 2.84-2.93
Ta  0.0000  0.0000  0.5000  12 Pd 2.77-2.84
Pd  0.0000  0.5000  0.2636  8 Pd 2.77-2.93, 2 Ta 2.77, 2 Tm 2.93
Pd  0.0000  0.5000  0.7364  2 Ta 2.77, 8 Pd 2.77-2.93, 2 Tm 2.93
Pd  0.5000  0.0000  0.2636  8 Pd 2.77-2.93, 2 Ta 2.77, 2 Tm 2.93
Pd  0.5000  0.0000  0.7364  2 Ta 2.77, 8 Pd 2.77-2.93, 2 Tm 2.93
Pd  0.5000  0.5000  0.0000  4 Tm 2.84, 8 Pd 2.93
Pd  0.5000  0.5000  0.5000  8 Pd 2.77, 4 Ta 2.84

## Properties
* VASP energy: -6.640 eV per atom
* N(E_F): 2.2 states/eV/f.u.
* ρ: 12.6 g/cm³
* DFT formation energy: -0.705 eV per atom

---

# 3
This record from Alexandria describes a relaxed structure of LiHo2Rh2. The functional is GGA-PBE.

Cell: 4.0524 5.9437 8.1275 Å, 90.00 90.00 90.00°
Closest atoms and distances in Å follow each position.
Sites, in units of the cell vectors:
Li  0.0000  0.0000  0.0000  4 Rh 2.58
Li  0.5000  0.5000  0.5000  4 Rh 2.58
Ho  0.0000  0.5000  0.2046  6 Rh 2.88-2.96, 2 Li 3.14
Ho  0.0000  0.5000  0.7954  6 Rh 2.88-2.96, 2 Li 3.14
Ho  0.5000  0.0000  0.2954  6 Rh 2.88-2.96, 2 Li 3.14
Ho  0.5000  0.0000  0.7046  6 Rh 2.88-2.96, 2 Li 3.14
Rh  0.0000  0.2317  0.5000  2 Li 2.58, 1 Rh 2.75, 2 Ho 2.88
Rh  0.0000  0.7683  0.5000  2 Li 2.58, 1 Rh 2.75, 2 Ho 2.88
Rh  0.5000  0.2683  0.0000  2 Li 2.58, 1 Rh 2.75, 2 Ho 2.88
Rh  0.5000  0.7317  0.0000  2 Li 2.58, 1 Rh 2.75, 2 Ho 2.88

## Properties
* VASP energy: -5.846 eV per atom
* N(E_F): 2.8 states/eV/f.u.
* ρ: 9.2 g/cm³
* DFT formation energy: -0.691 eV per atom

---

# 4
This record from Alexandria describes a relaxed structure of ZrCo2Au. The functional is GGA-PBE.

Cell: 3.2517 3.2931 5.7145 Å, 90.00 90.00 90.00°
Closest atoms and distances in Å follow each position.
Sites, in units of the cell vectors:
Zr  0.0000  0.0000  0.0000  8 Co 2.73, 2 Au 2.86
Co  0.5000  0.5000  0.2519  4 Au 2.71, 4 Zr 2.73, 2 Co 2.84-2.88
Co  0.5000  0.5000  0.7481  4 Au 2.71, 4 Zr 2.73, 2 Co 2.84-2.88
Au  0.0000  0.0000  0.5000  8 Co 2.71, 2 Zr 2.86

## Properties
* distance to the lowest polymorph of the same formula: 0.163 eV/atom
* VASP energy: -6.578 eV per atom
* N(E_F): 5.7 states/eV/f.u.
* ρ: 11.0 g/cm³
* DFT formation energy: -0.069 eV per atom

---

# 5
This record from Alexandria describes a relaxed structure of BaLa2Co. The functional is GGA-PBE.

Cell: 3.8169 6.5586 11.1292 Å, 90.00 90.00 90.00°
Closest atoms and distances in Å follow each position.
Sites, in units of the cell vectors:
Ba  0.0000  0.0000  0.0000  8 La 3.76-4.19, 4 Co 3.79, 2 Ba 3.82
Ba  0.5000  0.5000  0.5000  8 La 3.76-4.19, 4 Co 3.79, 2 Ba 3.82
La  0.0000  0.5000  0.1650  2 Co 2.65
La  0.0000  0.5000  0.8350  2 Co 2.65
La  0.5000  0.0000  0.3350  2 Co 2.65
La  0.5000  0.0000  0.6650  2 Co 2.65
Co  0.0000  0.0000  0.5000  4 La 2.65
Co  0.5000  0.5000  0.0000  4 La 2.65

## Properties
* distance to the lowest polymorph of the same formula: 0.132 eV/atom
* VASP energy: -4.658 eV per atom
* N(E_F): 4.1 states/eV/f.u.
* ρ: 5.7 g/cm³
* DFT formation energy: 0.063 eV per atom

---

# 6
This record from Alexandria describes a relaxed structure of Y3Co2. The functional is GGA-PBE.

Cell: 3.9174 6.0976 9.3492 Å, 90.00 90.00 90.00°
Closest atoms and distances in Å follow each position.
Sites, in units of the cell vectors:
Y  0.0000  0.0000  0.0000  4 Co 2.74
Y  0.0000  0.5000  0.1934  4 Co 2.90
Y  0.0000  0.5000  0.8066  4 Co 2.90
Y  0.5000  0.0000  0.3066  4 Co 2.90
Y  0.5000  0.0000  0.6934  4 Co 2.90
Y  0.5000  0.5000  0.5000  4 Co 2.74
Co  0.0000  0.1857  0.5000  1 Co 2.27
Co  0.0000  0.8143  0.5000  1 Co 2.27
Co  0.5000  0.3143  0.0000  1 Co 2.27
Co  0.5000  0.6857  0.0000  1 Co 2.27

## Properties
* distance to the lowest polymorph of the same formula: 0.035 eV/atom
* VASP energy: -6.857 eV per atom
* N(E_F): 5.3 states/eV/f.u.
* ρ: 5.7 g/cm³
* DFT formation energy: -0.136 eV per atom

---

# 7
This record from Alexandria describes a relaxed structure of Tl2SiBiIr. The functional is GGA-PBE.

Cell: 5.2375 5.2375 5.3867 Å, 90.00 90.00 90.00°
Closest atoms and distances in Å follow each position.
Sites, in units of the cell vectors:
Tl  0.0000  0.5000  0.0000  2 Ir 2.62
Tl  0.5000  0.0000  0.0000  2 Ir 2.62
Si  0.0000  0.0000  0.5000  4 Bi 3.70, 8 Tl 3.76
Bi  0.5000  0.5000  0.5000  2 Ir 2.69
Ir  0.5000  0.5000  0.0000  4 Tl 2.62, 2 Bi 2.69

## Properties
* VASP energy: -3.929 eV per atom
* N(E_F): 3.6 states/eV/f.u.
* formation energy without anion corrections: 3.25 eV/f.u.
* ρ: 9.4 g/cm³

---

# 8
This record from Alexandria describes a relaxed structure of Ba2TiP. The functional is GGA-PBE.

Cell: 12.0880 12.0880 4.8086 Å, 90.00 90.00 90.00°
Closest atoms and distances in Å follow each position.
Sites, in units of the cell vectors:
Ba  0.0763  0.2500  0.1250  2 P 3.22
Ba  0.2500  0.5763  0.3750  2 P 3.22
Ba  0.2500  0.9237  0.8750  2 P 3.22
Ba  0.4237  0.2500  0.6250  2 P 3.22
Ba  0.5763  0.7500  0.6250  2 P 3.22
Ba  0.7500  0.0763  0.8750  2 P 3.22
Ba  0.7500  0.4237  0.3750  2 P 3.22
Ba  0.9237  0.7500  0.1250  2 P 3.22
Ti  0.0000  0.0000  0.5000  2 P 2.40
Ti  0.0000  0.5000  0.7500  2 P 2.40
Ti  0.5000  0.0000  0.2500  2 P 2.40
Ti  0.5000  0.5000  0.0000  2 P 2.40
P  0.0000  0.0000  0.0000  2 Ti 2.40
P  0.0000  0.5000  0.2500  2 Ti 2.40
P  0.5000  0.0000  0.7500  2 Ti 2.40
P  0.5000  0.5000  0.5000  2 Ti 2.40

## Properties
* VASP energy: -4.466 eV per atom
* N(E_F): 6.9 states/eV/f.u.
* ρ: 3.3 g/cm³
* DFT formation energy: -0.179 eV per atom

---

- Among the records above, which one has the lowest VASP energy?
  Y3Co2